Entry 1:
A plane-wave DFT calculation with PBE was carried out for TaPdC after structural relaxation.

Values from the calculation:
final energy: -26.69 eV/f.u.
SG: No. 59
energy relative to the elements: -0.139 eV per atom
spin magnetization: 0.000 μB/cell
density: 12.12 g/cm3

Geometry as extended XYZ:
```
6
Lattice="3.088 0.000 0.000 0.000 3.121 0.000 0.000 0.000 8.513" Properties=species:S:1:pos:R:3 pbc="T T T"
Ta 0.772 0.780 1.087
Ta 2.316 2.341 7.426
Pd 0.772 2.341 3.352
Pd 2.316 0.780 5.161
C 0.772 0.780 7.339
C 2.316 2.341 1.174
```

=====

Entry 2:
A plane-wave DFT calculation with PBE was carried out for TaPd2C2 after structural relaxation.

Values from the calculation:
final energy: -36.71 eV/f.u.
E above lowest polymorph: 0.005 eV/atom
SG: No. 127
energy relative to the elements: 0.796 eV per atom
spin magnetization: 0.000 μB/cell
density: 10.63 g/cm3

Geometry as extended XYZ:
```
10
Lattice="6.004 0.000 0.000 0.000 6.004 0.000 0.000 0.000 3.622" Properties=species:S:1:pos:R:3 pbc="T T T"
Ta 0.000 0.000 0.000
Ta 3.002 3.002 0.000
Pd 0.980 2.022 1.811
Pd 2.022 5.024 1.811
Pd 3.982 0.980 1.811
Pd 5.024 3.982 1.811
C 1.153 4.155 0.000
C 1.849 1.153 0.000
C 4.155 4.851 0.000
C 4.851 1.849 0.000
```

=====

Entry 3:
A plane-wave DFT calculation with PBE was carried out for TaPdC3 after structural relaxation.

Values from the calculation:
final energy: -32.29 eV/f.u.
E above lowest polymorph: 0.498 eV/atom
SG: No. 221
energy relative to the elements: 2.485 eV per atom
spin magnetization: 0.000 μB/cell
density: 8.82 g/cm3

Geometry as extended XYZ:
```
5
Lattice="3.933 0.000 0.000 0.000 3.933 0.000 0.000 0.000 3.933" Properties=species:S:1:pos:R:3 pbc="T T T"
Ta 0.000 0.000 0.000
Pd 1.967 1.967 1.967
C 0.000 1.967 1.967
C 1.967 0.000 1.967
C 1.967 1.967 0.000
```